[1]
TbHfH4 | PBE | optimized geometry

a b c (Å): 3.4053 3.4053 5.1846
angles (deg): 90.00 90.00 90.00
Atoms (fractional coordinates):
1 Tb 0.0000 0.0000 0.0000
2 Hf 0.5000 0.5000 0.5000
3 H 0.0000 0.5000 0.2796
4 H 0.0000 0.5000 0.7204
5 H 0.5000 0.0000 0.2796
6 H 0.5000 0.0000 0.7204

Output
E_tot   -5.2657 eV/atom
Theoretical density   9.431 Mg/m³
Magnetic moment   0.000 μB/atom
N(E_F)   0.68 states/eV/f.u.

[2]
Tb3Hf5H12 | PBE | optimized geometry

a b c (Å): 10.6149 10.6149 10.6149
angles (deg): 109.47 109.47 109.47
Atoms (fractional coordinates):
1 Tb 0.1250 0.2500 0.3750
2 Tb 0.1250 0.3750 0.7500
3 Tb 0.2500 0.3750 0.1250
4 Tb 0.2500 0.8750 0.6250
5 Tb 0.3750 0.1250 0.2500
6 Tb 0.3750 0.7500 0.1250
7 Tb 0.6250 0.2500 0.8750
8 Tb 0.6250 0.8750 0.7500
9 Tb 0.7500 0.1250 0.3750
10 Tb 0.7500 0.6250 0.8750
11 Tb 0.8750 0.6250 0.2500
12 Tb 0.8750 0.7500 0.6250
13 Hf 0.0000 0.0000 0.0000
14 Hf 0.0000 0.0000 0.5000
15 Hf 0.0000 0.5000 0.0000
16 Hf 0.0000 0.5000 0.5000
17 Hf 0.1250 0.7500 0.8750
18 Hf 0.1250 0.8750 0.2500
19 Hf 0.2500 0.1250 0.8750
20 Hf 0.2500 0.6250 0.3750
21 Hf 0.3750 0.2500 0.6250
22 Hf 0.3750 0.6250 0.7500
23 Hf 0.5000 0.0000 0.0000
24 Hf 0.5000 0.0000 0.5000
25 Hf 0.5000 0.5000 0.0000
26 Hf 0.5000 0.5000 0.5000
27 Hf 0.6250 0.3750 0.2500
28 Hf 0.6250 0.7500 0.3750
29 Hf 0.7500 0.3750 0.6250
30 Hf 0.7500 0.8750 0.1250
31 Hf 0.8750 0.1250 0.7500
32 Hf 0.8750 0.2500 0.1250
33 H 0.0546 0.2162 0.1410
34 H 0.0546 0.3384 0.9135
35 H 0.0752 0.7162 0.6616
36 H 0.0752 0.8590 0.4135
37 H 0.0865 0.6410 0.4248
38 H 0.0865 0.9454 0.6616
39 H 0.1410 0.0546 0.2162
40 H 0.1410 0.5865 0.9248
41 H 0.1616 0.2162 0.5752
42 H 0.1616 0.4454 0.5865
43 H 0.2162 0.1410 0.0546
44 H 0.2162 0.5752 0.1616
45 H 0.2838 0.3384 0.9248
46 H 0.2838 0.4454 0.3590
47 H 0.3384 0.9135 0.0546
48 H 0.3384 0.9248 0.2838
49 H 0.3590 0.2838 0.4454
50 H 0.3590 0.5752 0.9135
51 H 0.4135 0.0752 0.8590
52 H 0.4135 0.8384 0.5546
53 H 0.4248 0.0865 0.6410
54 H 0.4248 0.8384 0.7838
55 H 0.4454 0.3590 0.2838
56 H 0.4454 0.5865 0.1616
57 H 0.5546 0.4135 0.8384
58 H 0.5546 0.6410 0.7162
59 H 0.5752 0.1616 0.2162
60 H 0.5752 0.9135 0.3590
61 H 0.5865 0.1616 0.4454
62 H 0.5865 0.9248 0.1410
63 H 0.6410 0.4248 0.0865
64 H 0.6410 0.7162 0.5546
65 H 0.6616 0.0752 0.7162
66 H 0.6616 0.0865 0.9454
67 H 0.7162 0.5546 0.6410
68 H 0.7162 0.6616 0.0752
69 H 0.7838 0.4248 0.8384
70 H 0.7838 0.8590 0.9454
71 H 0.8384 0.5546 0.4135
72 H 0.8384 0.7838 0.4248
73 H 0.8590 0.4135 0.0752
74 H 0.8590 0.9454 0.7838
75 H 0.9135 0.0546 0.3384
76 H 0.9135 0.3590 0.5752
77 H 0.9248 0.1410 0.5865
78 H 0.9248 0.2838 0.3384
79 H 0.9454 0.6616 0.0865
80 H 0.9454 0.7838 0.8590

Output
E_tot   -5.6132 eV/atom
Theoretical density   9.965 Mg/m³
Magnetic moment   0.000 μB/atom
N(E_F)   6.87 states/eV/f.u.